DFT (PBE with a Hubbard U) results for a geometry-optimized MnTlCuF6 structure.

Structure (CIF):
```
data_MnTlCuF6
_chemical_formula_sum 'Mn2 Tl2 Cu2 F12'
_cell_length_a 5.744
_cell_length_b 9.078
_cell_length_c 5.960
_cell_angle_alpha 90.00
_cell_angle_beta 91.93
_cell_angle_gamma 90.00
_space_group_name_H-M_alt 'C 1 2 1'
_space_group_IT_number 5
_space_group_name_Hall 'C 2y'
loop_
_atom_site_label
_atom_site_type_symbol
_atom_site_fract_x
_atom_site_fract_y
_atom_site_fract_z
Mn1 Mn 0.000 0.000 0.000
Tl1 Tl 0.000 0.344 0.500
Cu1 Cu 0.000 0.665 0.000
F1 F 0.111 0.836 0.182
F2 F 0.140 0.138 0.195
F3 F 0.174 0.523 0.172
```

Computed properties:
Crystal system   monoclinic
E_tot   -4.81 eV/atom